Bi2IrOs2 | the Alexandria database | PBE-GGA | optimized geometry; polymorph energy (0 for the lowest one) = 642 meV per atom; electronic total energy = -6.36 eV/atom; DFT formation energy = 1.46 eV per atom; crystal system = tetragonal; size of the total moment = 0.0 μB per cell; space-group type = I4/mmm, No. 139
1.0
4.235 0.000 0.000
0.000 4.235 0.000
0.000 0.000 11.933
Bi Ir Os
4 2 4
Cartesian
0.000 2.118 2.983
0.000 2.118 8.950
2.118 0.000 2.983
2.118 0.000 8.950
0.000 0.000 0.000
2.118 2.118 5.967
0.000 0.000 4.780
0.000 0.000 7.154
2.118 2.118 1.187
2.118 2.118 10.746